1.
LiSbPb | PBE | optimized geometry

Results
- Formation energy without anion corrections: -97 meV per atom
- E above lowest polymorph: 0.209 eV per atom
- Symmetry: P3m1 (156)
- Total energy: -10.0 eV for the cell shown

Geometry as POSCAR:
```
LiSbPb
1.0
5.382 0.000 0.000
-2.691 4.661 0.000
0.000 0.000 3.295
Li Sb Pb
1 1 1
direct
0.000 0.000 0.000
0.333 0.667 0.498
0.667 0.333 0.500
```

---

2.
LiSb2Pb | PBE | optimized geometry

Results
- Formation energy without anion corrections: -125 meV per atom
- Symmetry: P4/mmm (123)
- Total energy: -14.4 eV for the cell shown

Geometry as POSCAR:
```
LiSb2Pb
1.0
4.117 0.000 0.000
0.000 4.117 0.000
0.000 0.000 6.390
Li Sb Pb
1 2 1
direct
0.000 0.000 0.000
0.500 0.500 0.222
0.500 0.500 0.778
0.000 0.000 0.500
```